A plane-wave DFT calculation with GGA-PBE was carried out for DyErTlC after structural relaxation.

Unit cell a=3.5938 b=3.5938 c=16.2233 alpha=90.00 beta=90.00 gamma=120.00
Element x y z (fractional)
C 0.0000 0.0000 0.5007
C 0.0000 0.0000 0.0007
Er 0.3333 0.6667 0.0831
Er 0.6667 0.3333 0.5831
Tl 0.6667 0.3333 0.2491
Tl 0.3333 0.6667 0.7491
Dy 0.3333 0.6667 0.4171
Dy 0.6667 0.3333 0.9171

Values from the calculation:
Total magnetic moment in μB per atom: 0.02
E in eV per formula unit: -22.29